The following is a DFT calculation (PBE) of a geometry-optimized MgCd4Co structure.

Cell lengths 5.5967, 5.5967, 5.5967 Å; angles 60.00, 60.00, 60.00 degrees
Fractional coordinates of all 6 atoms:
Mg 0.0000 0.0000 0.0000
Cd 0.8735 0.3755 0.3755
Cd 0.3755 0.3755 0.8735
Cd 0.3755 0.8735 0.3755
Cd 0.3755 0.3755 0.3755
Co 0.7500 0.7500 0.7500

Summary:
- E (eV per cell) = -10.21
- total magnetization (μB/atom) = 0.202
- DOS(E_F) (states/eV/f.u.) = 9.59
- space-group type = No. 216